VASP calculation (GGA-PBE) on an optimized crystal structure of SmBeGaPt2.

Calculated values
M_tot in μB/f.u.: 0.00
Space group: No. 119
Formation enthalpy at 0 K in eV/atom: -0.839

Cell: 3.948 3.948 6.414 Å, 107.92 107.92 90.00°
Fractional coordinates of all 5 atoms:
Pt 0.620 0.620 0.239
Sm 0.000 0.000 0.000
Ga 0.250 0.750 0.500
Pt 0.380 0.380 0.761
Be 0.750 0.250 0.500



VASP calculation (GGA-PBE) on an optimized crystal structure of Sm2Be4GaPt3.

Calculated values
M_tot in μB/f.u.: 0.00
Space group: No. 115
Formation enthalpy at 0 K in eV/atom: -0.731

Cell: 4.030 4.030 9.801 Å, 90.00 90.00 90.00°
Fractional coordinates of all 10 atoms:
Ga 0.500 0.500 0.500
Pt 0.000 0.500 0.119
Be 0.000 0.500 0.365
Be 0.500 0.000 0.635
Sm 0.000 0.500 0.751
Sm 0.500 0.000 0.249
Pt 0.000 0.000 0.500
Be 0.500 0.500 0.000
Pt 0.500 0.000 0.881
Be 0.000 0.000 0.000



VASP calculation (GGA-PBE) on an optimized crystal structure of SrBeGaPt3.

Calculated values
M_tot in μB/f.u.: 0.00
Space group: No. 63
Formation enthalpy at 0 K in eV/atom: -0.660

Cell: 5.763 6.377 6.940 Å, 117.35 90.00 90.00°
Fractional coordinates of all 12 atoms:
Pt 0.500 0.269 0.000
Ga 0.250 0.375 0.750
Sr 0.250 0.734 0.469
Pt 0.250 0.177 0.355
Pt 0.000 0.731 0.000
Ga 0.750 0.625 0.250
Pt 0.750 0.823 0.645
Sr 0.750 0.266 0.531
Pt 0.000 0.269 0.000
Pt 0.500 0.731 0.000
Be 0.250 0.994 0.989
Be 0.750 0.006 0.011



VASP calculation (GGA-PBE) on an optimized crystal structure of Tb2BeGa3Pt4.

Calculated values
M_tot in μB/f.u.: 0.00
Space group: No. 115
Formation enthalpy at 0 K in eV/atom: -0.904

Cell: 4.096 4.096 10.765 Å, 90.00 90.00 90.00°
Fractional coordinates of all 10 atoms:
Tb 0.500 0.000 0.261
Pt 0.000 0.500 0.370
Pt 0.000 0.000 0.000
Tb 0.000 0.500 0.739
Be 0.500 0.500 0.500
Pt 0.500 0.000 0.630
Pt 0.500 0.500 0.000
Ga 0.000 0.500 0.139
Ga 0.000 0.000 0.500
Ga 0.500 0.000 0.861



VASP calculation (GGA-PBE) on an optimized crystal structure of Tb2BeGa4Pt3.

Calculated values
M_tot in μB/f.u.: 0.00
Space group: No. 115
Formation enthalpy at 0 K in eV/atom: -0.809

Cell: 4.094 4.094 10.904 Å, 90.00 90.00 90.00°
Fractional coordinates of all 10 atoms:
Be 0.500 0.500 0.500
Tb 0.500 0.000 0.257
Tb 0.000 0.500 0.743
Ga 0.500 0.500 0.000
Pt 0.000 0.000 0.500
Pt 0.000 0.500 0.143
Ga 0.500 0.000 0.628
Pt 0.500 0.000 0.857
Ga 0.000 0.000 0.000
Ga 0.000 0.500 0.372



VASP calculation (GGA-PBE) on an optimized crystal structure of TbBeGaPt2.

Calculated values
M_tot in μB/f.u.: 0.00
Space group: No. 119
Formation enthalpy at 0 K in eV/atom: -0.862

Cell: 3.852 3.852 6.511 Å, 107.21 107.21 90.00°
Fractional coordinates of all 5 atoms:
Pt 0.617 0.617 0.234
Pt 0.383 0.383 0.766
Be 0.250 0.750 0.500
Tb 0.000 0.000 0.000
Ga 0.750 0.250 0.500